No. 1
Below is a relaxed structure of TaZnSe2N, with properties calculated at the PBE level.

## Properties
The value obtained for the density of states at the Fermi level is 3.83 states/eV/cell. As for the raw formation energy: 1018 meV/atom. For the offset from the most stable computed form, the calculation gives 1013 meV/atom. The calculated volume is 88 Å³ per cell.

Cell: 4.9859 4.9859 3.5473 Å, 90.00 90.00 90.00°
With the nearest neighbours (Å) after each atom.
Positions (direct):
1 Ta 0.0000 0.0000 0.0000  8 Se 3.06
2 Zn 0.5000 0.5000 0.5000  2 N 1.77
3 Se 0.0000 0.5000 0.5000  2 Zn 2.49
4 Se 0.5000 0.0000 0.5000  2 Zn 2.49
5 N 0.5000 0.5000 0.0000  2 Zn 1.77

***

No. 2
Below is a relaxed structure of Ag5SF2, with properties calculated at the PBE level.

## Properties
The value obtained for the density of states at the Fermi level is 0.74 states/eV/cell. As for the raw formation energy: -488 meV/atom. The calculated volume is 137 Å³ per cell.

Cell: 3.1600 6.1561 7.7928 Å, 103.02 101.60 104.77°
With the nearest neighbours (Å) after each atom.
Positions (direct):
1 Ag 0.0000 0.0000 0.0000  1 F 2.55, 2 S 2.60, 1 Ag 2.81
2 Ag 0.1263 0.7246 0.5327  1 F 2.27, 1 S 2.41
3 Ag 0.3308 0.4860 0.1770  2 F 2.48
4 Ag 0.5792 0.3112 0.8454  2 F 2.51-2.52, 2 S 2.63-2.64
5 Ag 0.7715 0.2035 0.3400  1 F 2.30
6 S 0.2456 0.6589 0.8295  5 Ag 2.41-2.64
7 F 0.0403 0.8212 0.2658  3 Ag 2.27-2.48
8 F 0.8414 0.0851 0.6011  3 Ag 2.30-2.52

***

No. 3
Below is a relaxed structure of Li3ThNi8, with properties calculated at the PBE level.

## Properties
The value obtained for the density of states at the Fermi level is 8.99 states/eV/cell. As for the formation enthalpy at 0 K: -0.205 eV/atom. The calculated volume is 162 Å³ per cell.

Cell: 8.4300 8.4300 8.4300 Å, 33.42 33.42 33.42°
With the nearest neighbours (Å) after each atom.
Positions (direct):
1 Li 0.0000 0.0000 0.0000  4 Li 2.63-2.90, 12 Ni 2.74-2.86
2 Li 0.1101 0.1101 0.1101  1 Li 2.63, 9 Ni 2.67-2.94
3 Li 0.6352 0.6352 0.6352  12 Ni 2.65-2.91, 3 Li 2.90
4 Th 0.5027 0.5027 0.5027  12 Ni 2.85-2.89, 4 Li 3.13-3.16
5 Ni 0.0619 0.5640 0.5640  6 Ni 2.39-2.44, 3 Li 2.65-2.67
6 Ni 0.0677 0.0677 0.5684  6 Ni 2.39-2.51
7 Ni 0.0677 0.5684 0.0677  6 Ni 2.39-2.51
8 Ni 0.3158 0.3158 0.3158  6 Ni 2.39
9 Ni 0.5640 0.0619 0.5640  6 Ni 2.39-2.44, 3 Li 2.65-2.67
10 Ni 0.5640 0.5640 0.0619  6 Ni 2.39-2.44, 3 Li 2.65-2.67
11 Ni 0.5684 0.0677 0.0677  6 Ni 2.39-2.51
12 Ni 0.8139 0.8139 0.8139  6 Ni 2.44-2.51

***

Q: Look up the calculated volume of the first one.
A: 88 Å³ per cell

***

Q: calculated volume of number 1 (TaZnSe2N)?
A: 88 Å³ per cell